# 1
Entry from the Alexandria database: crystalline CeZr2N3 at its relaxed geometry (PBE).

Space group: Immm, No. 71
Formation energy without anion corrections (eV per atom): -1.618
Total moment (μB/atom): 0.00
Total energy (eV/atom): -9.620

Cell lengths 3.337, 4.766, 5.854 Å; angles 114.02, 106.56, 90.00 degrees
Element x y z (fractional)
N1 0.322 0.322 0.645
N2 0.000 0.000 0.000
N3 0.678 0.678 0.355
Ce1 0.000 0.500 0.000
Zr1 0.331 0.831 0.662
Zr2 0.669 0.169 0.338

***

# 2
Entry from the Alexandria database: crystalline CeZr2N4 at its relaxed geometry (PBE).

Space group: Cmcm, No. 63
Formation energy without anion corrections (eV per atom): -1.480
Total moment (μB/atom): 0.00
Total energy (eV/atom): -9.528

Cell lengths 3.262, 5.620, 10.689 Å; angles 90.00, 90.00, 106.87 degrees
Element x y z (fractional)
Zr1 0.134 0.267 0.433
Zr2 0.134 0.267 0.067
Zr3 0.866 0.733 0.567
Zr4 0.866 0.733 0.933
N1 0.038 0.077 0.250
N2 0.233 0.465 0.616
N3 0.500 0.000 0.500
N4 0.233 0.465 0.884
N5 0.962 0.923 0.750
N6 0.500 0.000 0.000
N7 0.767 0.535 0.384
N8 0.767 0.535 0.116
Ce1 0.391 0.782 0.250
Ce2 0.609 0.218 0.750

***

# 3
Entry from the Alexandria database: crystalline Ce4ZrN5 at its relaxed geometry (PBE).

Space group: I4/mmm, No. 139
Formation energy without anion corrections (eV per atom): -1.511
Total moment (μB/atom): 0.00
Total energy (eV/atom): -8.902

Cell lengths 3.512, 3.512, 12.651 Å; angles 97.98, 97.98, 90.00 degrees
Element x y z (fractional)
Ce1 0.199 0.199 0.398
Ce2 0.801 0.801 0.602
Ce3 0.403 0.403 0.807
Ce4 0.597 0.597 0.193
N1 0.699 0.699 0.398
N2 0.093 0.093 0.185
N3 0.907 0.907 0.815
N4 0.500 0.500 0.000
N5 0.301 0.301 0.602
Zr1 0.000 0.000 0.000

***

# 4
Entry from the Alexandria database: crystalline Ce5ZrN6 at its relaxed geometry (PBE).

Space group: C2/m, No. 12
Formation energy without anion corrections (eV per atom): -1.546
Total moment (μB/atom): 0.00
Total energy (eV/atom): -8.893

Cell lengths 6.081, 6.086, 6.082 Å; angles 59.98, 80.42, 70.56 degrees
Element x y z (fractional)
N1 0.763 0.079 0.317
N2 0.758 0.764 0.000
N3 0.242 0.236 0.000
N4 0.237 0.921 0.683
N5 0.237 0.604 0.317
N6 0.763 0.396 0.683
Ce1 0.500 0.500 0.000
Ce2 0.500 0.833 0.334
Ce3 0.000 0.334 0.333
Ce4 0.000 0.666 0.667
Ce5 0.500 0.167 0.666
Zr1 0.000 0.000 0.000

***

# 5
Entry from the Alexandria database: crystalline CeZr2N at its relaxed geometry (PBE).

Offset from the most stable computed form (meV/atom): 0
Space group: R3m, No. 160
Formation energy without anion corrections (eV per atom): -0.769
Total moment (μB/atom): 0.17
Total energy (eV/atom): -8.608

Cell lengths 3.262, 3.262, 8.717 Å; angles 79.22, 79.22, 60.00 degrees
Each line ends with the local moment (μB).
Element x y z (fractional)
Zr1 0.283 0.283 0.152  0.04
Zr2 0.050 0.050 0.850  0.02
Ce1 0.500 0.500 0.499  0.44
N1 0.667 0.667 0.999  0.00

***

# 6
Entry from the Alexandria database: crystalline NaCe3 at its relaxed geometry (PBE).

Space group: Pm-3m, No. 221
Total moment (μB/atom): 0.79
Total energy (eV/atom): -4.333

Cell lengths 4.903, 4.903, 4.903 Å; angles 90.00, 90.00, 90.00 degrees
Each line ends with the local moment (μB).
Element x y z (fractional)
Ce1 0.000 0.500 0.500  0.83
Ce2 0.500 0.000 0.500  0.83
Ce3 0.500 0.500 0.000  0.83
Na1 0.000 0.000 0.000  0.00

***

# 7
Entry from the Alexandria database: crystalline Na4Ce at its relaxed geometry (PBE).

Space group: Pm-3m, No. 221
Total moment (μB/atom): 0.46
Total energy (eV/atom): -1.316

Cell lengths 6.656, 6.656, 6.656 Å; angles 90.00, 90.00, 90.00 degrees
Each line ends with the local moment (μB).
Element x y z (fractional)
Na1 0.000 0.000 0.000  0.00
Na2 0.500 0.500 0.000  0.02
Na3 0.000 0.500 0.500  0.02
Na4 0.500 0.000 0.500  0.02
Ce1 0.500 0.500 0.500  1.53

***

# 8
Entry from the Alexandria database: crystalline Na4CeNb3O12 at its relaxed geometry (PBE).

Space group: Im-3m, No. 229
Formation energy without anion corrections (eV per atom): -2.331
Total moment (μB/atom): 0.04
Total energy (eV/atom): -7.377

Cell lengths 7.138, 7.138, 7.138 Å; angles 109.47, 109.47, 109.47 degrees
Each line ends with the local moment (μB).
Element x y z (fractional)
O1 0.750 0.250 0.500  0.07
O2 0.250 0.750 0.500  0.07
O3 0.000 0.735 0.735  0.04
O4 0.250 0.500 0.750  0.07
O5 0.500 0.750 0.250  0.07
O6 0.735 0.735 0.000  0.04
O7 0.750 0.500 0.250  0.07
O8 0.500 0.250 0.750  0.07
O9 0.000 0.265 0.265  0.04
O10 0.265 0.265 0.000  0.04
O11 0.735 0.000 0.735  0.04
O12 0.265 0.000 0.265  0.04
Na1 0.000 0.500 0.000  0.00
Na2 0.500 0.500 0.500  0.00
Na3 0.000 0.000 0.500  0.00
Na4 0.500 0.000 0.000  0.00
Nb1 0.500 0.000 0.500  -0.03
Nb2 0.000 0.500 0.500  -0.03
Nb3 0.500 0.500 0.000  -0.03
Ce1 0.000 0.000 0.000  -0.01

***

# 9
Entry from the Alexandria database: crystalline Na2CeNbO6 at its relaxed geometry (PBE).

Space group: P2_1/c, No. 14
Formation energy without anion corrections (eV per atom): -2.352
Total moment (μB/atom): 0.11
Total energy (eV/atom): -7.191

Cell lengths 5.744, 5.894, 8.216 Å; angles 90.00, 90.07, 90.00 degrees
Each line ends with the local moment (μB).
Element x y z (fractional)
O1 0.093 0.466 0.765  0.17
O2 0.217 0.193 0.456  0.15
O3 0.593 0.034 0.265  0.17
O4 0.312 0.721 0.447  0.18
O5 0.283 0.693 0.044  0.15
O6 0.907 0.534 0.235  0.17
O7 0.188 0.221 0.053  0.18
O8 0.783 0.807 0.544  0.15
O9 0.812 0.779 0.947  0.18
O10 0.717 0.307 0.956  0.15
O11 0.688 0.279 0.553  0.18
O12 0.407 0.966 0.735  0.17
Na1 0.509 0.536 0.753  0.00
Na2 0.491 0.464 0.247  0.00
Na3 0.991 0.036 0.747  0.00
Na4 0.009 0.964 0.253  0.00
Nb1 0.000 0.500 0.000  -0.07
Nb2 0.500 0.000 0.500  -0.07
Ce1 0.000 0.500 0.500  -0.03
Ce2 0.500 0.000 0.000  -0.03

***

# 10
Entry from the Alexandria database: crystalline NaCeNb2O8 at its relaxed geometry (PBE).

Space group: I-4, No. 82
Formation energy without anion corrections (eV per atom): -2.487
Total moment (μB/atom): 0.09
Total energy (eV/atom): -8.075

Cell lengths 5.325, 5.325, 6.698 Å; angles 113.42, 113.42, 90.00 degrees
Each line ends with the local moment (μB).
Element x y z (fractional)
O1 0.652 0.222 0.824  0.12
O2 0.588 0.675 0.693  0.13
O3 0.398 0.348 0.176  0.12
O4 0.778 0.828 0.176  0.12
O5 0.105 0.017 0.693  0.13
O6 0.983 0.412 0.307  0.13
O7 0.172 0.602 0.824  0.12
O8 0.325 0.895 0.307  0.13
Nb1 0.250 0.750 0.500  -0.05
Nb2 0.500 0.500 0.000  -0.04
Na1 0.750 0.250 0.500  0.00
Ce1 0.000 0.000 0.000  -0.04

***

# 11
Entry from the Alexandria database: crystalline NaCeNb2O6 at its relaxed geometry (PBE).

Space group: Fm-3m, No. 225
Formation energy without anion corrections (eV per atom): -2.560
Total moment (μB/atom): 0.10
Total energy (eV/atom): -8.274

Cell lengths 5.723, 5.723, 5.723 Å; angles 60.00, 60.00, 60.00 degrees
Each line ends with the local moment (μB).
Element x y z (fractional)
O1 0.000 0.000 0.500  0.00
O2 0.500 0.000 0.000  0.00
O3 0.500 0.500 0.000  0.00
O4 0.000 0.500 0.000  0.00
O5 0.000 0.500 0.500  0.00
O6 0.500 0.000 0.500  0.00
Nb1 0.750 0.750 0.750  -0.06
Nb2 0.250 0.250 0.250  -0.06
Na1 0.500 0.500 0.500  0.00
Ce1 0.000 0.000 0.000  1.08

***

# 12
Entry from the Alexandria database: crystalline NaSrCeNbO6 at its relaxed geometry (PBE).

Space group: F-43m, No. 216
Formation energy without anion corrections (eV per atom): -2.741
Total moment (μB/atom): 0.00
Total energy (eV/atom): -7.617

Cell lengths 5.986, 5.986, 5.986 Å; angles 60.00, 60.00, 60.00 degrees
Element x y z (fractional)
Na1 0.750 0.750 0.750
O1 0.737 0.263 0.737
O2 0.263 0.737 0.737
O3 0.263 0.263 0.737
O4 0.263 0.737 0.263
O5 0.737 0.263 0.263
O6 0.737 0.737 0.263
Ce1 0.000 0.000 0.000
Sr1 0.250 0.250 0.250
Nb1 0.500 0.500 0.500

***

# 13
Entry from the Alexandria database: crystalline NaCeZrNbO6 at its relaxed geometry (PBE).

Space group: F-43m, No. 216
Formation energy without anion corrections (eV per atom): -2.736
Total moment (μB/atom): 0.14
Total energy (eV/atom): -8.298

Cell lengths 5.804, 5.804, 5.804 Å; angles 60.00, 60.00, 60.00 degrees
Each line ends with the local moment (μB).
Element x y z (fractional)
Zr1 0.500 0.500 0.500  0.04
O1 0.754 0.754 0.246  0.00
O2 0.246 0.246 0.754  0.00
O3 0.754 0.246 0.246  0.00
O4 0.754 0.246 0.754  0.00
O5 0.246 0.754 0.754  0.00
O6 0.246 0.754 0.246  0.00
Na1 0.750 0.750 0.750  0.00
Ce1 0.250 0.250 0.250  1.19
Nb1 0.000 0.000 0.000  0.09

***

# 14
Entry from the Alexandria database: crystalline Na3Ce3NbS8 at its relaxed geometry (PBE).

Space group: R-3m, No. 166
Formation energy without anion corrections (eV per atom): -1.564
Total moment (μB/atom): 0.27
Total energy (eV/atom): -5.888

Cell lengths 7.969, 7.968, 8.175 Å; angles 119.17, 90.00, 120.00 degrees
Each line ends with the local moment (μB).
Element x y z (fractional)
S1 0.773 0.010 0.283  -0.02
S2 0.227 0.453 0.717  -0.02
S3 0.255 0.509 0.264  -0.02
S4 0.773 0.547 0.283  -0.02
S5 0.236 0.010 0.283  -0.02
S6 0.227 0.990 0.717  -0.02
S7 0.745 0.491 0.736  -0.02
S8 0.764 0.990 0.717  -0.02
Na1 0.000 0.000 0.000  0.00
Na2 0.500 0.500 0.000  0.00
Na3 0.000 0.500 0.000  0.00
Nb1 0.000 0.000 0.500  1.19
Ce1 0.500 0.500 0.500  0.79
Ce2 0.500 0.000 0.500  0.79
Ce3 0.000 0.500 0.500  0.79

***

# 15
Entry from the Alexandria database: crystalline NaCeNd2 at its relaxed geometry (PBE).

Offset from the most stable computed form (meV/atom): 615
Space group: R-3m, No. 166
Total moment (μB/atom): 0.00
Total energy (eV/atom): -3.461

Cell lengths 4.223, 4.223, 10.531 Å; angles 78.43, 78.43, 60.00 degrees
Element x y z (fractional)
Nd1 0.116 0.116 0.651
Nd2 0.884 0.884 0.349
Na1 0.000 0.000 0.000
Ce1 0.500 0.500 0.500

***

# 16
Entry from the Alexandria database: crystalline NaCeNd at its relaxed geometry (PBE).

Space group: P4/nmm, No. 129
Total moment (μB/atom): 0.00
Total energy (eV/atom): -3.927

Cell lengths 3.488, 3.488, 16.015 Å; angles 90.00, 90.00, 90.00 degrees
Element x y z (fractional)
Na1 0.000 0.500 0.591
Na2 0.500 0.000 0.409
Ce1 0.000 0.500 0.932
Ce2 0.500 0.000 0.068
Nd1 0.500 0.000 0.776
Nd2 0.000 0.500 0.224

***

# 17
Entry from the Alexandria database: crystalline NaCeNd2 at its relaxed geometry (PBE).

Offset from the most stable computed form (meV/atom): 0
Space group: P4/mmm, No. 123
Total moment (μB/atom): 0.06
Total energy (eV/atom): -4.076

Cell lengths 3.547, 3.547, 10.686 Å; angles 90.00, 90.00, 90.00 degrees
Each line ends with the local moment (μB).
Element x y z (fractional)
Nd1 0.000 0.000 0.776  -0.01
Nd2 0.000 0.000 0.224  -0.01
Na1 0.500 0.500 0.500  0.00
Ce1 0.500 0.500 0.000  0.23

***

# 18
Entry from the Alexandria database: crystalline NaCe2Nd at its relaxed geometry (PBE).

Space group: R-3m, No. 166
Total moment (μB/atom): 0.56
Total energy (eV/atom): -4.228

Cell lengths 3.404, 3.404, 13.101 Å; angles 82.54, 82.54, 60.00 degrees
Each line ends with the local moment (μB).
Element x y z (fractional)
Nd1 0.500 0.500 0.500  -0.01
Ce1 0.090 0.090 0.729  0.86
Ce2 0.910 0.910 0.271  0.86
Na1 0.000 0.000 0.000  0.00

***

# 19
Entry from the Alexandria database: crystalline Na2CeNdO4 at its relaxed geometry (PBE).

Space group: P2/m, No. 10
Formation energy without anion corrections (eV per atom): -2.595
Total moment (μB/atom): 0.13
Total energy (eV/atom): -6.742

Cell lengths 3.590, 6.213, 6.008 Å; angles 110.16, 90.00, 90.00 degrees
Each line ends with the local moment (μB).
Element x y z (fractional)
O1 0.500 0.241 0.217  -0.01
O2 0.000 0.737 0.217  -0.01
O3 0.500 0.759 0.783  -0.01
O4 0.000 0.263 0.783  -0.01
Na1 0.000 0.500 0.500  0.00
Na2 0.500 0.000 0.500  0.00
Nd1 0.000 0.000 0.000  0.04
Ce1 0.500 0.500 0.000  0.88

***

# 20
Entry from the Alexandria database: crystalline NaCeNdPb at its relaxed geometry (PBE).

Space group: F-43m, No. 216
Total moment (μB/atom): 0.40
Total energy (eV/atom): -4.042

Cell lengths 5.565, 5.565, 5.565 Å; angles 60.00, 60.00, 60.00 degrees
Each line ends with the local moment (μB).
Element x y z (fractional)
Na1 0.000 0.000 0.000  0.00
Pb1 0.500 0.500 0.500  -0.02
Nd1 0.750 0.750 0.750  0.15
Ce1 0.250 0.250 0.250  1.06